# 1
Computed, not measured: a crystal of Re2AgBr relaxed with PBEsol at the meta-GGA SCAN level of DFT.

extended XYZ file:
```
4
Lattice="-2.3264 -0.5071 2.5426 -2.7676 -0.6932 -3.8055 1.0932 -4.7048 0.0619" Properties=species:S:1:pos:R:3 pbc="T T T"
Re -1.1877 -0.2742 0.1319
Re -3.9064 -0.9260 -1.3948
Br -2.0004 -2.9525 -0.6005
Ag 0.5466 -2.3524 0.0310
```

Calculated values
crystal system: monoclinic
Fermi-level density of states: 3.04 states/eV per cell
energy relative to the elements, uncorrected: 1.117 eV/atom
V: 19.70 A^3/atom



# 2
Computed, not measured: a crystal of Re2AgBr relaxed with PBEsol at the meta-GGA SCAN level of DFT.

extended XYZ file:
```
4
Lattice="2.8585 0.0000 0.0000 1.4293 2.4756 0.0000 1.4293 0.8252 8.8814" Properties=species:S:1:pos:R:3 pbc="T T T"
Re 1.4293 0.8252 2.1435
Re 4.2878 2.4756 6.7379
Br 0.0000 0.0000 0.0000
Ag 2.8585 1.6504 4.4407
```

Calculated values
crystal system: trigonal
Fermi-level density of states: 3.39 states/eV per cell
energy relative to the elements, uncorrected: 1.228 eV/atom
V: 15.71 A^3/atom



# 3
Computed, not measured: a crystal of Re2AgBr relaxed with PBEsol at the meta-GGA SCAN level of DFT.

extended XYZ file:
```
4
Lattice="-1.7736 2.0075 -0.9805 -2.0496 0.3570 4.4385 4.2864 2.1537 0.8052" Properties=species:S:1:pos:R:3 pbc="T T T"
Re 1.1554 1.6457 1.2795
Re -0.6922 2.8724 2.9837
Br -0.8868 1.0037 -0.4903
Ag -1.0248 0.1785 2.2193
```

Calculated values
crystal system: monoclinic
Fermi-level density of states: 3.57 states/eV per cell
energy relative to the elements, uncorrected: 1.325 eV/atom
V: 15.94 A^3/atom



# 4
Computed, not measured: a crystal of Ag2RhBr relaxed with PBEsol at the meta-GGA SCAN level of DFT.

extended XYZ file:
```
4
Lattice="3.0363 0.0000 0.0000 0.0000 3.0363 0.0000 0.0000 0.0000 7.4685" Properties=species:S:1:pos:R:3 pbc="T T T"
Rh 1.5181 1.5181 5.6073
Br 0.0000 0.0000 3.9750
Ag 0.0000 0.0000 7.3791
Ag 1.5181 1.5181 1.7099
```

Calculated values
crystal system: tetragonal
Fermi-level density of states: 3.61 states/eV per cell
energy relative to the elements, uncorrected: 0.386 eV/atom
V: 17.21 A^3/atom